# ZrCd4Ir | the Alexandria database | PBE | optimized geometry
data_ZrCd4Ir
_cell_length_a 7.800
_cell_length_b 7.800
_cell_length_c 7.800
_cell_angle_alpha 90.00
_cell_angle_beta 90.00
_cell_angle_gamma 90.00
_symmetry_space_group_name_H-M 'F -4 3 m'
_symmetry_Int_Tables_number 216
_symmetry_space_group_name_Hall 'F -4 2 3'
loop_
_atom_site_label
_atom_site_type_symbol
_atom_site_fract_x
_atom_site_fract_y
_atom_site_fract_z
Zr1 Zr 0.000 0.000 0.000
Cd1 Cd 0.125 0.125 0.625
Ir1 Ir 0.250 0.250 0.250
# Formation energy from the elements   0.213 eV per atom

***

# HfCd2SbTe | the Alexandria database | PBE | optimized geometry
data_HfCd2SbTe
_cell_length_a 5.357
_cell_length_b 5.357
_cell_length_c 5.935
_cell_angle_alpha 90.00
_cell_angle_beta 90.00
_cell_angle_gamma 90.00
_symmetry_space_group_name_H-M 'P 4/m m m'
_symmetry_Int_Tables_number 123
_symmetry_space_group_name_Hall '-P 4 2'
loop_
_atom_site_label
_atom_site_type_symbol
_atom_site_fract_x
_atom_site_fract_y
_atom_site_fract_z
Hf1 Hf 0.000 0.000 0.000
Cd1 Cd 0.000 0.500 0.500
Sb1 Sb 0.500 0.500 0.500
Te1 Te 0.500 0.500 0.000
# E_form (uncorrected)   0.93 eV/atom

***

# DySbPd3 | the Alexandria database | PBE | optimized geometry
data_DySbPd3
_cell_length_a 5.480
_cell_length_b 7.968
_cell_length_c 9.118
_cell_angle_alpha 90.00
_cell_angle_beta 90.00
_cell_angle_gamma 90.00
_symmetry_space_group_name_H-M 'I m m a'
_symmetry_Int_Tables_number 74
_symmetry_space_group_name_Hall '-I 2b 2'
loop_
_atom_site_label
_atom_site_type_symbol
_atom_site_fract_x
_atom_site_fract_y
_atom_site_fract_z
Dy1 Dy 0.000 0.250 0.003
Sb1 Sb 0.000 0.000 0.500
Pd1 Pd 0.000 0.250 0.688
Pd2 Pd 0.250 0.067 0.250
# E_form (uncorrected)   -0.68 eV/atom

***

Number 1: energy -79.18 eV for the cell shown, V 19.77 A^3/atom. Number 2: energy -14.40 eV for the cell shown, V 34.07 A^3/atom. Number 3: energy -110.86 eV for the cell shown, V 19.90 A^3/atom.